Entry 1:
Density functional theory data (PBE) for crystalline CaPr2TmBi4 at its relaxed geometry.

It has space group P2/m (No. 10), with a = 7.883 Å, b = 4.583 Å, c = 8.003 Å, α = 90.00°, β = 109.46° and γ = 90.00°. The distinct sites, in fractional coordinates, are Ca at (0.000, 0.000, 0.000), Pr at (0.500, 0.000, 0.500), Pr at (0.500, 0.500, 0.000), Tm at (0.000, 0.500, 0.500), Bi at (0.239, 0.000, 0.742) and Bi at (0.243, 0.500, 0.253).

Its energy of formation is -822 meV/atom. The uncorrected energy comes out at -4.767 eV per atom.

Entry 2:
Density functional theory data (PBE) for crystalline LiCu2Ru at its relaxed geometry.

It has space group P2/m (No. 10), with a = 2.478 Å, b = 4.076 Å, c = 5.111 Å, α = 90.00°, β = 102.04° and γ = 90.00°. The distinct sites, in fractional coordinates, are Li at (0.000, 0.000, 0.000), Cu at (0.420, 0.500, 0.249) and Ru at (0.000, 0.000, 0.500).

The energy relative to the lowest polymorph listed for this composition comes out at 1.95 kcal/mol of atoms. Its energy of formation is 121 meV/atom. The uncorrected energy comes out at -4.724 eV per atom.

Entry 3:
Density functional theory data (PBE) for crystalline HgAsPb2 at its relaxed geometry.

It has space group Pm (No. 6), with a = 3.328 Å, b = 5.747 Å, c = 5.748 Å, α = 90.00°, β = 90.09° and γ = 90.00°. The distinct sites, in fractional coordinates, are Hg at (0.000, 0.000, 0.000), As at (0.208, 0.500, 0.503), Pb at (0.511, 0.000, 0.501) and Pb at (0.511, 0.500, 0.003).

The energy relative to the lowest polymorph listed for this composition comes out at 2.29 kcal/mol of atoms. Its energy of formation is 97 meV/atom. The uncorrected energy comes out at -2.995 eV per atom.

What is the energy of formation in the third record? 97 meV/atom